CsRbPS3 after structural relaxation, computed with PBE.

Cell lengths 7.4859, 7.4859, 8.9033 Å; angles 98.12, 98.12, 65.75 degrees
Fractional coordinates of all 12 atoms:
1 Cs 0.6587 0.6587 0.9170
2 Cs 0.3413 0.3413 0.0830
3 Rb 0.2341 0.7659 0.5000
4 Rb 0.7659 0.2341 0.5000
5 P 0.9774 0.9774 0.8676
6 P 0.0226 0.0226 0.1324
7 S 0.1192 0.1192 0.7832
8 S 0.0982 0.6815 0.8087
9 S 0.6815 0.0982 0.8087
10 S 0.3185 0.9018 0.1913
11 S 0.9018 0.3185 0.1913
12 S 0.8808 0.8808 0.2168

Properties
- V: 448 Å³ per cell
- Total energy: -49.88 eV for the cell shown
- Symmetry: C2/m, No. 12
- Formation energy from raw total energies: -0.888 eV/atom
- Total magnetic moment: 0.00 μB/f.u.

---

Cs2Rb2PS4 after structural relaxation, computed with PBE.

Cell lengths 7.2609, 7.2609, 7.2609 Å; angles 96.57, 116.28, 116.28 degrees
Fractional coordinates of all 9 atoms:
1 Cs 0.5000 0.7500 0.2500
2 Cs 0.5000 0.2500 0.7500
3 Rb 0.0000 0.6758 0.6758
4 Rb 0.0000 0.3242 0.3242
5 P 0.0000 0.0000 0.0000
6 S 0.0000 0.7919 0.2081
7 S 0.5837 0.7919 0.7919
8 S 0.0000 0.2081 0.7919
9 S 0.4163 0.2081 0.2081

Properties
- V: 284 Å³ per cell
- Total energy: -30.83 eV for the cell shown
- Symmetry: I4/mmm, No. 139
- Formation energy from raw total energies: -0.585 eV/atom
- Total magnetic moment: 1.17 μB/f.u.